The following is a DFT calculation (PBE) of Fe7Ag after structural relaxation.

## Properties
- magnetization (μB/f.u.) = 18.82
- total energy (eV/atom) = -7.4977
- energy of formation (eV per atom) = 0.264

Unit cell a=5.253 b=5.253 c=5.253 alpha=60.00 beta=60.00 gamma=60.00
Fractional coordinates of all 8 atoms:
Fe 0.000 0.000 0.000
Fe 0.000 0.000 0.500
Fe 0.000 0.500 0.000
Fe 0.000 0.500 0.500
Fe 0.500 0.000 0.000
Fe 0.500 0.000 0.500
Fe 0.500 0.500 0.000
Ag 0.500 0.500 0.500

---

The following is a DFT calculation (PBE) of FeAg7 after structural relaxation.

## Properties
- magnetization (μB/f.u.) = 3.07
- total energy (eV/atom) = -3.3293
- energy of formation (eV per atom) = 0.223

Unit cell a=5.816 b=5.816 c=5.816 alpha=60.00 beta=60.00 gamma=60.00
Fractional coordinates of all 8 atoms:
Fe 0.000 0.000 0.000
Ag 0.000 0.000 0.500
Ag 0.000 0.500 0.000
Ag 0.000 0.500 0.500
Ag 0.500 0.000 0.000
Ag 0.500 0.000 0.500
Ag 0.500 0.500 0.000
Ag 0.500 0.500 0.500